SrLi2Se, relaxed, DFT PBE-GGA; spin magnetization = 0.252 μB per formula unit; raw formation energy = -246 kJ/mol of formula units
1.0
-1.927 1.613 3.480
-4.936 -3.562 -3.731
-0.283 -3.944 1.669
Li Se Sr
2 1 1
direct
0.500 0.000 0.500 Li
0.000 0.000 0.000 Li
0.000 0.500 0.500 Se
0.500 0.500 0.000 Sr

***

SrLiSe4, relaxed, DFT PBE-GGA; spin magnetization = 0.000 μB per formula unit; raw formation energy = -221 kJ/mol of formula units
1.0
1.870 -5.114 -2.453
1.351 -4.662 3.480
-3.541 -4.809 0.057
Se Sr Li
4 1 1
direct
0.375 0.375 0.876 Se
0.375 0.375 0.375 Se
0.375 0.876 0.375 Se
0.876 0.375 0.375 Se
0.750 0.750 0.750 Sr
0.000 0.000 0.000 Li